The following is a DFT calculation (PBE-GGA) of a relaxed structure of CaMgAl2Ga4.

Raw total energy = -3.04 eV/atom
Formation energy = -146 meV per atom
Total magnetic moment = 0.000 μB/f.u.

a b c (Å): 4.5409 4.5409 9.4514
angles (deg): 76.10 76.10 60.00
With the nearest neighbours (Å) after each atom.
Atoms (fractional coordinates):
Ga 0.8726 0.8726 0.3823  3 Al 2.81, 3 Mg 2.83
Ga 0.1274 0.1274 0.6177  3 Al 2.81, 3 Mg 2.83
Ga 0.3960 0.3960 0.8121  3 Al 2.73, 1 Mg 2.83
Ga 0.6040 0.6040 0.1879  3 Al 2.73, 1 Mg 2.83
Al 0.7568 0.7568 0.7295  6 Ga 2.73-2.81
Al 0.2432 0.2432 0.2705  6 Ga 2.73-2.81
Mg 0.5000 0.5000 0.5000  8 Ga 2.83
Ca 0.0000 0.0000 0.0000  8 Ga 3.13-3.47